(1)
Density functional theory data (GGA-PBE) for a relaxed Li5Hg4Ge crystal.

abc: 3.3642 3.3642 15.8743
angles: 90.00 90.00 90.00
Element x y z (fractional)
Li: 0.5000 0.5000 0.2961
Li: 0.5000 0.5000 0.7039
Li: 0.5000 0.5000 0.0917
Hg: 0.0000 0.0000 0.6019
Hg: 0.0000 0.0000 0.8052
Ge: 0.0000 0.0000 0.0000
Li: 0.5000 0.5000 0.9083
Hg: 0.0000 0.0000 0.3981
Hg: 0.0000 0.0000 0.1948
Li: 0.5000 0.5000 0.5000

Calculated values
The density comes out at 8.41 g cm⁻³. The calculation puts the total energy at -1.874 eV/atom. The calculation puts the size of the total moment at 0.00 Bohr magnetons per cell.

(2)
Density functional theory data (GGA-PBE) for a relaxed Li5Hg6Ge crystal.

abc: 4.6634 6.9800 8.3207
angles: 114.80 107.93 90.00
Element x y z (fractional)
Hg: 0.5000 0.7275 0.0001
Hg: 0.5000 0.2725 0.9999
Li: 0.6645 0.6680 0.3364
Li: 0.3355 0.3320 0.6636
Ge: 0.0000 0.0000 0.0000
Li: 0.6515 0.1573 0.3147
Li: 0.3485 0.8427 0.6853
Hg: 0.8308 0.0850 0.6516
Hg: 0.8309 0.5667 0.6517
Hg: 0.1691 0.4333 0.3483
Li: 0.0000 0.5000 0.0000
Hg: 0.1692 0.9150 0.3484

Calculated values
The density comes out at 9.41 g cm⁻³. The calculation puts the total energy at -1.611 eV/atom. The calculation puts the size of the total moment at 0.00 Bohr magnetons per cell.

no.,formation energy from the elements (eV per atom)
1,-0.34
2,-0.28